# AcTiFeO5 (GGA+U, relaxed)
data_AcTiFeO5
_chemical_formula_sum 'Ac2 Ti2 Fe2 O10'
_space_group_name_H-M_alt 'P 1'
_space_group_IT_number 1
_cell_length_a 5.828
_cell_length_b 5.828
_cell_length_c 7.411
_cell_angle_alpha 103.34
_cell_angle_beta 103.34
_cell_angle_gamma 106.96
loop_
_space_group_symop_operation_xyz
'x,y,z'
loop_
_atom_site_label
_atom_site_fract_x
_atom_site_fract_y
_atom_site_fract_z
_atom_site_occupancy
Ac1 0.327 0.673 0.250 1
Ac2 0.673 0.327 0.750 1
Ti1 0.000 0.000 0.500 1
Ti2 0.000 0.000 0.000 1
Fe1 0.687 0.313 0.250 1
Fe2 0.313 0.687 0.750 1
O1 0.057 0.943 0.250 1
O2 0.943 0.057 0.750 1
O3 0.899 0.300 0.091 1
O4 0.101 0.700 0.909 1
O5 0.700 0.101 0.409 1
O6 0.300 0.899 0.591 1
O7 0.756 0.641 0.417 1
O8 0.244 0.359 0.583 1
O9 0.359 0.244 0.083 1
O10 0.641 0.756 0.917 1
# Spin magnetization, Bohr magnetons per cell: 10.0
# SG: C2/c


# AcTlFeO3 (GGA+U, relaxed)
data_AcTlFeO3
_chemical_formula_sum 'Ac2 Tl2 Fe2 O6'
_space_group_name_H-M_alt 'P 1'
_space_group_IT_number 1
_cell_length_a 4.030
_cell_length_b 7.234
_cell_length_c 8.446
_cell_angle_alpha 109.32
_cell_angle_beta 90.00
_cell_angle_gamma 106.17
loop_
_space_group_symop_operation_xyz
'x,y,z'
loop_
_atom_site_label
_atom_site_fract_x
_atom_site_fract_y
_atom_site_fract_z
_atom_site_occupancy
Ac1 0.660 0.319 0.595 1
Ac2 0.340 0.681 0.405 1
Tl1 0.364 0.727 0.983 1
Tl2 0.636 0.273 0.017 1
Fe1 0.008 0.017 0.287 1
Fe2 0.992 0.983 0.713 1
O1 0.850 0.699 0.194 1
O2 0.839 0.678 0.582 1
O3 0.505 0.009 0.323 1
O4 0.161 0.322 0.418 1
O5 0.495 0.991 0.677 1
O6 0.150 0.301 0.806 1
# Spin magnetization, Bohr magnetons per cell: 8.0
# SG: C2/m


# AcTlFeO4 (GGA+U, relaxed)
data_AcTlFeO4
_chemical_formula_sum 'Ac2 Tl2 Fe2 O8'
_space_group_name_H-M_alt 'P 1'
_space_group_IT_number 1
_cell_length_a 6.277
_cell_length_b 6.929
_cell_length_c 6.929
_cell_angle_alpha 70.05
_cell_angle_beta 63.07
_cell_angle_gamma 63.07
loop_
_space_group_symop_operation_xyz
'x,y,z'
loop_
_atom_site_label
_atom_site_fract_x
_atom_site_fract_y
_atom_site_fract_z
_atom_site_occupancy
Ac1 0.000 0.000 0.000 1
Ac2 0.000 0.500 0.500 1
Tl1 0.635 0.615 0.115 1
Tl2 0.365 0.385 0.885 1
Fe1 0.500 0.000 0.500 1
Fe2 0.000 0.000 0.500 1
O1 0.747 0.832 0.674 1
O2 0.253 0.826 0.668 1
O3 0.747 0.174 0.332 1
O4 0.253 0.168 0.326 1
O5 0.209 0.779 0.279 1
O6 0.733 0.779 0.279 1
O7 0.267 0.221 0.721 1
O8 0.791 0.221 0.721 1
# Spin magnetization, Bohr magnetons per cell: 8.5
# SG: Imma


# AcTl2FeO4 (GGA+U, relaxed)
data_AcTl2FeO4
_chemical_formula_sum 'Ac2 Tl4 Fe2 O8'
_space_group_name_H-M_alt 'P 1'
_space_group_IT_number 1
_cell_length_a 5.151
_cell_length_b 9.315
_cell_length_c 7.423
_cell_angle_alpha 90.00
_cell_angle_beta 90.00
_cell_angle_gamma 90.00
loop_
_space_group_symop_operation_xyz
'x,y,z'
loop_
_atom_site_label
_atom_site_fract_x
_atom_site_fract_y
_atom_site_fract_z
_atom_site_occupancy
Ac1 0.961 0.089 0.500 1
Ac2 0.461 0.911 0.000 1
Tl1 0.469 0.336 0.251 1
Tl2 0.469 0.336 0.749 1
Tl3 0.969 0.664 0.751 1
Tl4 0.969 0.664 0.249 1
Fe1 0.493 0.844 0.500 1
Fe2 0.993 0.156 0.000 1
O1 0.368 0.170 0.000 1
O2 0.868 0.830 0.500 1
O3 0.449 0.051 0.500 1
O4 0.949 0.949 0.000 1
O5 0.396 0.774 0.730 1
O6 0.896 0.226 0.230 1
O7 0.896 0.226 0.770 1
O8 0.396 0.774 0.270 1
# Spin magnetization, Bohr magnetons per cell: 10.0
# SG: Pmn2_1


# AcTlFe2O6 (GGA+U, relaxed)
data_AcTlFe2O6
_chemical_formula_sum 'Ac1 Tl1 Fe2 O6'
_space_group_name_H-M_alt 'P 1'
_space_group_IT_number 1
_cell_length_a 5.633
_cell_length_b 5.632
_cell_length_c 5.702
_cell_angle_alpha 59.60
_cell_angle_beta 59.58
_cell_angle_gamma 59.24
loop_
_space_group_symop_operation_xyz
'x,y,z'
loop_
_atom_site_label
_atom_site_fract_x
_atom_site_fract_y
_atom_site_fract_z
_atom_site_occupancy
Ac1 0.759 0.773 0.701 1
Tl1 0.291 0.242 0.201 1
Fe1 0.511 0.511 0.456 1
Fe2 0.021 0.021 0.947 1
O1 0.696 0.230 0.239 1
O2 0.302 0.836 0.164 1
O3 0.892 0.640 0.202 1
O4 0.302 0.837 0.632 1
O5 0.696 0.230 0.770 1
O6 0.191 0.341 0.702 1
# Spin magnetization, Bohr magnetons per cell: 10.0
# SG: Imm2


# Ac2TlFeO6 (GGA+U, relaxed)
data_Ac2TlFeO6
_chemical_formula_sum 'Ac2 Tl1 Fe1 O6'
_space_group_name_H-M_alt 'P 1'
_space_group_IT_number 1
_cell_length_a 5.964
_cell_length_b 5.859
_cell_length_c 5.989
_cell_angle_alpha 119.29
_cell_angle_beta 121.11
_cell_angle_gamma 90.00
loop_
_space_group_symop_operation_xyz
'x,y,z'
loop_
_atom_site_label
_atom_site_fract_x
_atom_site_fract_y
_atom_site_fract_z
_atom_site_occupancy
Ac1 0.237 0.253 0.506 1
Ac2 0.763 0.747 0.494 1
Tl1 0.000 0.500 0.000 1
Fe1 0.500 0.000 0.000 1
O1 0.367 0.766 0.531 1
O2 0.206 0.179 0.878 1
O3 0.794 0.301 0.122 1
O4 0.206 0.699 0.878 1
O5 0.794 0.821 0.122 1
O6 0.633 0.234 0.469 1
# Spin magnetization, Bohr magnetons per cell: 5.0
# SG: C2/m


| no. | total DFT energy (no corrections) (eV per atom) |
| --- | --- |
| 1 | -8.0047 |
| 2 | -6.4212 |
| 3 | -6.3172 |
| 4 | -5.9555 |
| 5 | -6.4824 |
| 6 | -6.8197 |